CdCuP2 | PBE-GGA | relaxed

Total moment = 0.000 μB per formula unit
ΔH_f (0 K) = 0.143 eV per atom
Energy = -3.815 eV per atom
Crystal system = trigonal
N(E_F) = 0.3617 states/eV/atom

The structure in extended XYZ format:
```
4
Lattice="7.546 0.017 0.010 6.830 3.208 0.010 6.830 1.532 2.818" Properties=species:S:1:pos:R:3 pbc="T T T"
Cd 10.522 2.360 1.408
Cu 15.625 3.505 2.091
P 21.135 4.741 2.829
P 5.734 1.286 0.767
```